i | The following is a DFT calculation (PBE) of a geometry-optimized Tc2PtRh structure.

a = 3.3355 Å, b = 3.3355 Å, c = 5.4361 Å
α = 90.00°, β = 90.00°, γ = 90.00°
Last column: magnetic moment on the atom in μB.
Fractional coordinates of all 4 atoms:
Pt  0.5000  0.5000  0.2500  0.03
Rh  0.5000  0.5000  0.7500  0.12
Tc  0.0000  0.0000  0.9813  0.20
Tc  0.0000  0.0000  0.5187  0.20

## Properties
N(E_F) (states/eV/atom): 1.39
Crystal system: tetragonal
M_tot (μB/f.u.): 0.59

=====

ii | The following is a DFT calculation (PBE) of a geometry-optimized Tc2PtRh structure.

a = 4.7957 Å, b = 4.7957 Å, c = 4.7241 Å
α = 80.51°, β = 80.51°, γ = 33.13°
Fractional coordinates of all 4 atoms:
Pt  0.7500  0.7500  0.7500
Rh  0.2500  0.2500  0.2500
Tc  0.9987  0.9987  0.0061
Tc  0.5013  0.5013  0.4939

## Properties
N(E_F) (states/eV/atom): 0.98
Crystal system: monoclinic
M_tot (μB/f.u.): 0.00

=====

iii | The following is a DFT calculation (PBE) of a geometry-optimized Tc2PtRh structure.

a = 4.3914 Å, b = 4.3914 Å, c = 4.3914 Å
α = 60.00°, β = 60.00°, γ = 60.00°
Fractional coordinates of all 4 atoms:
Pt  0.5000  0.5000  0.5000
Rh  0.7500  0.7500  0.7500
Tc  0.0000  0.0000  0.0000
Tc  0.2500  0.2500  0.2500

## Properties
N(E_F) (states/eV/atom): 0.84
Crystal system: cubic
M_tot (μB/f.u.): 0.00

=====

iv | The following is a DFT calculation (PBE) of a geometry-optimized Tc2PtRh structure.

a = 4.4033 Å, b = 4.4033 Å, c = 4.4033 Å
α = 60.00°, β = 60.00°, γ = 60.00°
Last column: magnetic moment on the atom in μB.
Fractional coordinates of all 4 atoms:
Rh  0.0000  0.0000  0.0000  0.36
Tc  0.2500  0.2500  0.2500  0.28
Tc  0.7500  0.7500  0.7500  0.28
Pt  0.5000  0.5000  0.5000  0.08

## Properties
N(E_F) (states/eV/atom): 1.75
Crystal system: cubic
M_tot (μB/f.u.): 1.05

=====

It is iv that is the least stable of them.

=====

i | The following is a DFT calculation (PBE) of a geometry-optimized Tc2Pt2Rh structure.

a = 7.5432 Å, b = 7.5432 Å, c = 2.7687 Å
α = 90.00°, β = 90.00°, γ = 90.00°
Fractional coordinates of all 10 atoms:
Rh  0.0000  0.0000  0.0000
Rh  0.5000  0.5000  0.0000
Tc  0.1742  0.6742  0.5000
Tc  0.6742  0.8258  0.5000
Tc  0.8258  0.3258  0.5000
Tc  0.3258  0.1742  0.5000
Pt  0.3758  0.8758  0.0000
Pt  0.8758  0.6242  0.0000
Pt  0.6242  0.1242  0.0000
Pt  0.1242  0.3758  0.0000

## Properties
N(E_F) (states/eV/atom): 1.28
Crystal system: tetragonal
M_tot (μB/f.u.): 0.00

=====

ii | The following is a DFT calculation (PBE) of a geometry-optimized Tc2Pt2Rh structure.

a = 3.5394 Å, b = 3.5394 Å, c = 6.9831 Å
α = 75.32°, β = 75.32°, γ = 90.00°
Fractional coordinates of all 5 atoms:
Rh  0.0000  0.0000  0.0000
Tc  0.7500  0.2500  0.5000
Tc  0.2500  0.7500  0.5000
Pt  0.4026  0.4026  0.1947
Pt  0.5974  0.5974  0.8053

## Properties
N(E_F) (states/eV/atom): 1.31
Crystal system: tetragonal
M_tot (μB/f.u.): 0.00

=====

iii | The following is a DFT calculation (PBE) of a geometry-optimized Tc2Pt2Rh structure.

a = 4.2610 Å, b = 4.2610 Å, c = 5.2272 Å
α = 90.00°, β = 90.00°, γ = 116.43°
Fractional coordinates of all 5 atoms:
Tc  0.8316  0.1684  0.5000
Tc  0.1684  0.8316  0.5000
Pt  0.5000  0.5000  0.7519
Pt  0.5000  0.5000  0.2481
Rh  0.0000  0.0000  0.0000

## Properties
N(E_F) (states/eV/atom): 1.06
Crystal system: orthorhombic
M_tot (μB/f.u.): 0.00

=====

It is ii that is the least stable of them.

=====

i | The following is a DFT calculation (PBE) of a geometry-optimized TcPt7Rh4 structure.

a = 5.5490 Å, b = 6.1863 Å, c = 6.1920 Å
α = 84.25°, β = 102.84°, γ = 63.48°
Fractional coordinates of all 12 atoms:
Tc  0.0000  0.0000  0.0000
Pt  0.7566  0.4907  0.0003
Pt  0.2434  0.5093  0.9997
Pt  0.0002  0.3312  0.6676
Pt  0.9998  0.6688  0.3324
Pt  0.2517  0.8315  0.6695
Pt  0.5000  0.0000  0.0000
Pt  0.7483  0.1685  0.3305
Rh  0.4932  0.6702  0.3310
Rh  0.5068  0.3298  0.6690
Rh  0.7483  0.8398  0.6675
Rh  0.2517  0.1602  0.3325

## Properties
N(E_F) (states/eV/atom): 1.62
Crystal system: triclinic
M_tot (μB/f.u.): 0.00

=====

ii | The following is a DFT calculation (PBE) of a geometry-optimized TcPt7Rh4 structure.

a = 4.7072 Å, b = 8.4322 Å, c = 5.7929 Å
α = 80.67°, β = 66.03°, γ = 73.79°
Last column: magnetic moment on the atom in μB.
Fractional coordinates of all 12 atoms:
Tc  0.0000  0.0000  0.0000  1.09
Pt  0.7926  0.9205  0.4942  0.03
Pt  0.2074  0.0795  0.5058  0.03
Pt  0.0757  0.6688  0.1797  0.02
Pt  0.9243  0.3312  0.8203  0.02
Pt  0.3631  0.5374  0.7365  0.01
Pt  0.5000  0.0000  0.0000  0.03
Pt  0.6369  0.4626  0.2635  0.01
Rh  0.5752  0.2289  0.6206  0.04
Rh  0.4248  0.7711  0.3794  0.04
Rh  0.7253  0.6804  0.8690  0.04
Rh  0.2747  0.3196  0.1310  0.04

## Properties
N(E_F) (states/eV/atom): 1.42
Crystal system: monoclinic
M_tot (μB/f.u.): 1.51

=====

It is ii that is the least stable of them.